Compound: Tl2CrTcO6
Source: Alexandria
Functional: PBE+U
Structure: optimized geometry

The space group is R-3m (No. 166, hexagonal axes) and the conventional cell measures 5.8548, 5.8548 and 28.2546 Å, with angles of 90.00, 90.00 and 120.00 degrees. The inequivalent atoms are Tl at (0.0000, 0.0000, 0.1260), Tl at (0.0000, 0.0000, 0.2835), Cr at (0.0000, 0.0000, 0.4058), Tc at (0.0000, 0.0000, 0.0000), Tc at (0.0000, 0.0000, 0.5000), O at (0.0214, 0.5107, 0.7054) and O at (0.0422, 0.5211, 0.1237).

For the spin magnetization, the calculation gives 18.01 Bohr magnetons per cell. Its total energy is -383.783 eV/cell. Its density of states at the Fermi level is 3.3 states/eV per cell.